A plane-wave DFT calculation with PBE was carried out for crystalline LaHoH2 at its relaxed geometry. Values from VASP.

Calculated values
Size of the total moment: 0.000 μB/f.u.
DOS(E_F): 2.446 states/eV per cell
Crystal system: trigonal
E_tot: -4.354 eV per atom

Quantum ESPRESSO input file:
```
&SYSTEM
  ibrav = 0, nat = 4, ntyp = 3
/
ATOMIC_SPECIES
La 138.91 La.upf
Ho 164.93 Ho.upf
H 1.01 H.upf
CELL_PARAMETERS angstrom
1.7677 1.0206 6.1174
-1.7677 1.0206 6.1174
0.0000 -2.0411 6.1174
ATOMIC_POSITIONS crystal
La 0.0000 0.0000 0.0000
Ho 0.1760 0.1760 0.1760
H 0.5758 0.5758 0.5758
H 0.7797 0.7797 0.7797
```